1.
Material: FeCuBr2
Method: DFT, GGA-PBEsol
State: optimized geometry

a = 3.377 Å, b = 3.377 Å, c = 6.924 Å
α = 90.00°, β = 90.00°, γ = 101.75°
Each line ends with the local moment (μB).
Atoms (fractional coordinates):
Br  0.000  0.000  0.086  0.06
Br  0.500  0.500  0.651  0.01
Cu  0.000  0.000  0.472  0.05
Fe  0.500  0.500  0.291  2.91

Calculated values
- space group = Cmm2 (35)
- E_form (uncorrected) (eV per atom) = 0.135

---

2.
Material: FeCu2Br
Method: DFT, GGA-PBEsol
State: optimized geometry

a = 2.959 Å, b = 2.959 Å, c = 7.964 Å
α = 79.29°, β = 79.29°, γ = 60.00°
Each line ends with the local moment (μB).
Atoms (fractional coordinates):
Br  0.000  0.000  0.000  -0.02
Cu  0.245  0.245  0.266  0.07
Cu  0.755  0.755  0.734  0.07
Fe  0.500  0.500  0.500  2.84

Calculated values
- space group = R-3m (166)
- E_form (uncorrected) (eV per atom) = 0.551

---

3.
Material: Fe3CuBr
Method: DFT, GGA-PBEsol
State: optimized geometry

a = 4.257 Å, b = 4.257 Å, c = 4.257 Å
α = 90.00°, β = 90.00°, γ = 90.00°
Each line ends with the local moment (μB).
Atoms (fractional coordinates):
Cu  0.500  0.500  0.500  0.02
Br  0.000  0.000  0.000  -0.04
Fe  0.000  0.500  0.000  2.12
Fe  0.000  0.000  0.500  2.12
Fe  0.500  0.000  0.000  2.12

Calculated values
- space group = Pm-3m (221)
- E_form (uncorrected) (eV per atom) = 1.269

---

4.
Material: ScFeCu2Br
Method: DFT, GGA-PBEsol
State: optimized geometry

a = 4.469 Å, b = 4.469 Å, c = 4.860 Å
α = 90.00°, β = 90.00°, γ = 90.00°
Each line ends with the local moment (μB).
Atoms (fractional coordinates):
Sc  0.000  0.000  0.500  -0.19
Cu  0.000  0.500  0.000  0.00
Cu  0.500  0.000  0.000  0.00
Br  0.000  0.000  0.000  0.00
Fe  0.500  0.500  0.500  3.05

Calculated values
- space group = P4/mmm (123)
- E_form (uncorrected) (eV per atom) = 0.982

---

5.
Material: CuGe3Br
Method: DFT, GGA-PBEsol
State: optimized geometry

a = 5.031 Å, b = 5.031 Å, c = 5.031 Å
α = 90.00°, β = 90.00°, γ = 90.00°
Atoms (fractional coordinates):
Ge  0.000  0.500  0.000
Ge  0.000  0.000  0.500
Ge  0.500  0.000  0.000
Cu  0.500  0.500  0.500
Br  0.000  0.000  0.000

Calculated values
- space group = Pm-3m (221)
- E_form (uncorrected) (eV per atom) = 1.271

---

6.
Material: CuHBr3
Method: DFT, GGA-PBEsol
State: optimized geometry

a = 4.557 Å, b = 4.557 Å, c = 4.557 Å
α = 90.00°, β = 90.00°, γ = 90.00°
Atoms (fractional coordinates):
H  0.000  0.000  0.000
Cu  0.500  0.500  0.500
Br  0.000  0.500  0.000
Br  0.000  0.000  0.500
Br  0.500  0.000  0.000

Calculated values
- E (eV/atom) = -1.91
- space group = Pm-3m (221)

---

7.
Material: CuTe2HBr
Method: DFT, GGA-PBEsol
State: optimized geometry

a = 3.349 Å, b = 5.798 Å, c = 5.798 Å
α = 90.00°, β = 90.00°, γ = 90.00°
Atoms (fractional coordinates):
H  0.500  0.000  0.000
Te  0.000  0.000  0.500
Te  0.000  0.500  0.000
Cu  0.500  0.500  0.500
Br  0.000  0.000  0.000

Calculated values
- E (eV/atom) = -2.58
- space group = P4/mmm (123)

---

8.
Material: HfCuBr3
Method: DFT, GGA-PBEsol
State: optimized geometry

a = 5.149 Å, b = 5.149 Å, c = 5.149 Å
α = 90.00°, β = 90.00°, γ = 90.00°
Each line ends with the local moment (μB).
Atoms (fractional coordinates):
Hf  0.000  0.000  0.000  0.03
Cu  0.500  0.500  0.500  0.08
Br  0.000  0.500  0.000  0.01
Br  0.000  0.000  0.500  0.01
Br  0.500  0.000  0.000  0.01

Calculated values
- space group = Pm-3m (221)
- E_form (uncorrected) (eV per atom) = -0.140

---

9.
Material: CuHgBr2
Method: DFT, GGA-PBEsol
State: optimized geometry

a = 3.457 Å, b = 3.663 Å, c = 8.066 Å
α = 103.12°, β = 102.37°, γ = 90.00°
Atoms (fractional coordinates):
Br  0.993  0.993  0.985
Br  0.778  0.278  0.556
Cu  0.549  0.549  0.099
Hg  0.180  0.680  0.360

Calculated values
- space group = Imm2 (44)
- E_form (uncorrected) (eV per atom) = -0.010

---

10.
Material: CuHgBr2
Method: DFT, GGA-PBEsol
State: optimized geometry

a = 3.575 Å, b = 3.575 Å, c = 7.849 Å
α = 90.00°, β = 90.00°, γ = 90.00°
Atoms (fractional coordinates):
Br  0.000  0.000  0.742
Br  0.500  0.500  0.351
Cu  0.000  0.000  0.445
Hg  0.500  0.500  0.962

Calculated values
- space group = P4mm (99)
- E_form (uncorrected) (eV per atom) = -0.010

---

11.
Material: CuHgBr2
Method: DFT, GGA-PBEsol
State: optimized geometry

a = 3.804 Å, b = 3.954 Å, c = 6.498 Å
α = 90.00°, β = 90.00°, γ = 90.00°
Atoms (fractional coordinates):
Br  0.000  0.000  0.000
Br  0.000  0.500  0.500
Cu  0.500  0.500  0.000
Hg  0.500  0.000  0.500

Calculated values
- space group = Pmmm (47)
- E_form (uncorrected) (eV per atom) = 0.100

---

12.
Material: CuHgSeBr
Method: DFT, GGA-PBEsol
State: optimized geometry

a = 4.224 Å, b = 9.813 Å, c = 9.776 Å
α = 90.00°, β = 90.00°, γ = 90.00°
Atoms (fractional coordinates):
Cu  0.000  0.219  0.116
Cu  0.000  0.219  0.384
Cu  0.000  0.781  0.616
Cu  0.000  0.781  0.884
Hg  0.500  0.792  0.250
Hg  0.500  0.500  0.500
Hg  0.500  0.208  0.750
Hg  0.500  0.500  0.000
Se  0.500  0.757  0.506
Se  0.500  0.243  0.494
Se  0.500  0.757  0.994
Se  0.500  0.243  0.006
Br  0.000  0.988  0.750
Br  0.000  0.012  0.250
Br  0.000  0.556  0.750
Br  0.000  0.444  0.250

Calculated values
- space group = Pmma (51)
- E_form (uncorrected) (eV per atom) = -0.246

---

Number 1: density 6.00 g cm⁻³. Number 2: density 7.40 g cm⁻³. Number 3: density 6.70 g cm⁻³. Number 4: density 5.27 g cm⁻³. Number 5: density 4.71 g cm⁻³. Number 6: density 5.34 g cm⁻³. Number 7: density 5.89 g cm⁻³. Number 8: density 5.86 g cm⁻³. Number 9: density 7.26 g cm⁻³. Number 10: density 7.02 g cm⁻³. Number 11: density 7.20 g cm⁻³. Number 12: density 6.93 g cm⁻³.